Entry from OQMD via LeMat-Bulk: an optimized crystal structure of NdTmSc (PBE).

POSCAR file:
```
NdTmSc
1.0
0.000 3.728 3.728
3.728 0.000 3.728
3.728 3.728 0.000
Nd Tm Sc
1 1 1
direct
0.000 0.000 0.000
0.500 0.500 0.500
0.250 0.250 0.250
```

- ΔH_f (0 K) (eV/f.u.) = 2.05
- symmetry = F-43m (216)
- excess energy over the best structure of this formula in the dataset (meV per atom) = 0.0
- total DFT energy (no corrections) (eV for the cell shown) = -13.514

---

Entry from OQMD via LeMat-Bulk: an optimized crystal structure of Li4Mg2AgPt (PBE).

POSCAR file:
```
Li4Mg2AgPt
1.0
4.501 0.000 0.000
0.000 4.501 0.000
0.000 0.000 6.379
Li Mg Ag Pt
4 2 1 1
direct
0.000 0.000 0.000
0.000 0.500 0.242
0.500 0.000 0.758
0.500 0.500 0.500
0.000 0.500 0.765
0.500 0.000 0.235
0.000 0.000 0.500
0.500 0.500 0.000
```

- symmetry = P-4m2 (115)
- total DFT energy (no corrections) (eV for the cell shown) = -22.460

---

Entry from OQMD via LeMat-Bulk: an optimized crystal structure of HfZnAu2 (PBE).

POSCAR file:
```
HfZnAu2
1.0
0.000 3.277 3.277
3.277 0.000 3.277
3.277 3.277 0.000
Hf Zn Au
1 1 2
direct
0.000 0.000 0.000
0.750 0.750 0.750
0.250 0.250 0.250
0.500 0.500 0.500
```

- ΔH_f (0 K) (eV/f.u.) = -1.32
- symmetry = F-43m (216)
- total DFT energy (no corrections) (eV for the cell shown) = -19.072